Here is crystalline Li3VO4 at its relaxed geometry from Alexandria. Energies are from PBE+U.

a b c (Å): 6.3939 5.5147 5.0305
angles (deg): 90.00 90.00 90.00
Space group Pmn2_1 (No. 31)
Symmetry-distinct sites (fractional):
Li: 0.0000 0.1657 0.0000
Li: 0.2478 0.3320 0.4995
V: 0.0000 0.8298 0.4917
O: 0.0000 0.1308 0.6002
O: 0.0000 0.8270 0.1455
O: 0.2251 0.6797 0.6015

DOS(E_F) ... 0.0 states/eV/f.u.
Raw total energy ... -6.278 eV/atom
Crystal system ... orthorhombic
V ... 88.69 Å³/f.u.